{"formula": "PrSm3Al8", "functional": "PBE", "state": "relaxed", "dft_energy_ev_per_atom": -4.57, "rho_g_cm3": 5.22, "relative_energy_mev_per_atom": 10.5, "space_group": "P3m1 (156)", "cell": [[5.647, 0.000, 0.000], [-2.823, 4.890, 0.000], [0.000, 0.000, 9.308]], "species": ["Pr", "Sm", "Sm", "Sm", "Al", "Al", "Al", "Al", "Al", "Al", "Al", "Al"], "frac_coords": [[0.000, 0.000, 0.568], [0.667, 0.333, 0.431], [0.667, 0.333, 0.068], [0.000, 0.000, 0.932], [0.333, 0.667, 0.499], [0.333, 0.667, 0.001], [0.504, 0.009, 0.752], [0.504, 0.496, 0.752], [0.991, 0.496, 0.752], [0.162, 0.325, 0.248], [0.162, 0.838, 0.248], [0.675, 0.838, 0.248]]}

---

{"formula": "AlH2Cl", "functional": "PBE", "state": "relaxed", "dft_energy_ev_per_atom": -3.35, "rho_g_cm3": 1.93, "relative_energy_mev_per_atom": 0.0, "space_group": "Pmmn (59)", "cell": [[-2.592, -0.846, -0.764], [4.311, -3.193, -0.596], [-1.268, -3.172, 7.818]], "species": ["Al", "Al", "H", "H", "H", "H", "Cl", "Cl"], "frac_coords": [[0.858, 0.608, 0.750], [0.142, 0.392, 0.250], [0.358, 0.608, 0.617], [0.642, 0.392, 0.383], [0.358, 0.608, 0.883], [0.642, 0.392, 0.117], [0.642, 0.892, 0.250], [0.358, 0.108, 0.750]]}

---

{"formula": "ZnNi5Sn", "functional": "PBE", "state": "relaxed", "dft_energy_ev_per_atom": -4.87, "rho_g_cm3": 8.45, "space_group": "P4/mmm (123)", "cell": [[4.130, 0.000, 0.000], [0.000, 4.130, 0.000], [0.000, 0.000, 5.501]], "species": ["Zn", "Ni", "Ni", "Ni", "Ni", "Ni", "Sn"], "frac_coords": [[0.500, 0.500, 0.000], [0.000, 0.500, 0.770], [0.000, 0.500, 0.230], [0.500, 0.000, 0.770], [0.500, 0.000, 0.230], [0.500, 0.500, 0.500], [0.000, 0.000, 0.500]]}

---

{"formula": "Li4GaAu", "functional": "PBE", "state": "relaxed", "dft_energy_ev_per_atom": -2.67, "rho_g_cm3": 5.15, "relative_energy_mev_per_atom": 15.1, "space_group": "Pm (6)", "cell": [[2.765, 0.000, 0.004], [0.001, 4.468, -0.001], [0.002, -0.002, 7.688]], "species": ["Li", "Li", "Li", "Li", "Ga", "Au"], "frac_coords": [[0.669, 0.997, 0.164], [0.667, 0.997, 0.817], [0.165, 0.498, 0.666], [0.668, 0.498, 0.343], [0.171, 0.497, 0.013], [0.168, 0.997, 0.485]]}

---

{"formula": "Ta2FeAu", "functional": "PBE", "state": "relaxed", "dft_energy_ev_per_atom": -8.72, "rho_g_cm3": 15.60, "relative_energy_mev_per_atom": 171.1, "space_group": "I-4m2 (119)", "cell": [[5.035, -0.020, 0.000], [1.950, 4.642, 0.000], [-3.493, -2.311, 2.795]], "species": ["Au", "Fe", "Ta", "Ta"], "frac_coords": [[0.500, 0.500, 0.000], [0.750, 0.250, 0.500], [0.000, 0.000, 0.000], [0.250, 0.750, 0.500]]}

---

{"formula": "Pu2ReP", "functional": "PBE", "state": "relaxed", "dft_energy_ev_per_atom": -11.68, "rho_g_cm3": 14.88, "space_group": "Fm-3m (225)", "cell": [[-0.119, -4.498, -1.693], [2.628, -3.431, 2.105], [-2.164, -3.467, 2.540]], "species": ["Re", "P", "Pu", "Pu"], "frac_coords": [[0.000, 0.000, 0.000], [0.500, 0.500, 0.500], [0.750, 0.750, 0.750], [0.250, 0.250, 0.250]]}

---

{"formula": "NaTi2Ru", "functional": "PBE", "state": "relaxed", "dft_energy_ev_per_atom": -6.40, "rho_g_cm3": 5.58, "relative_energy_mev_per_atom": 0.0, "space_group": "Fm-3m (225)", "cell": [[0.000, 3.199, 3.199], [3.199, 0.000, 3.199], [3.199, 3.199, 0.000]], "species": ["Ru", "Na", "Ti", "Ti"], "frac_coords": [[0.500, 0.500, 0.500], [0.000, 0.000, 0.000], [0.250, 0.250, 0.250], [0.750, 0.750, 0.750]]}

---

{"formula": "Rb3PmNp2S6", "functional": "PBE", "state": "relaxed", "dft_energy_ev_per_atom": -6.37, "rho_g_cm3": 5.16, "space_group": "C2/m (12)", "cell": [[-6.891, 1.614, 1.219], [2.409, -6.645, 1.266], [3.241, 3.686, 6.386]], "species": ["Rb", "Rb", "Rb", "Pm", "Np", "Np", "S", "S", "S", "S", "S", "S"], "frac_coords": [[0.165, 0.835, 0.500], [0.835, 0.165, 0.500], [0.500, 0.500, 0.500], [0.000, 0.000, 0.000], [0.333, 0.667, 0.000], [0.667, 0.333, 0.000], [0.936, 0.596, 0.807], [0.725, 0.725, 0.193], [0.064, 0.404, 0.193], [0.596, 0.936, 0.807], [0.275, 0.275, 0.807], [0.404, 0.064, 0.193]]}